## i
## YS3O (PBE)

Data for a relaxed structure of YS3O.

```
YS3O
1.0
4.329 0.000 0.000
0.000 4.329 0.000
0.000 0.000 4.329
Y S O
1 3 1
Cartesian
2.165 2.165 2.165
0.000 2.165 0.000
0.000 0.000 2.165
2.165 0.000 0.000
0.000 0.000 0.000
```

## ii
## YS3O (PBE)

Data for a relaxed structure of YS3O.

```
YS3O
1.0
5.298 0.000 0.000
0.000 5.298 0.000
0.000 0.000 5.298
Y S O
1 3 1
Cartesian
0.000 0.000 0.000
0.000 2.649 0.000
0.000 0.000 2.649
2.649 0.000 0.000
2.649 2.649 2.649
```

Energies relative to the minimum, meV per atom: i 0; ii 773